This record from the Alexandria database describes crystalline U2TlNiS4 at its relaxed geometry. The functional is GGA-PBE.

Cell lengths 7.124, 7.124, 13.445 Å; angles 90.00, 90.00, 148.46 degrees
Positions (direct):
U 0.134 0.866 0.560
U 0.134 0.866 0.940
U 0.866 0.134 0.060
U 0.866 0.134 0.440
Tl 0.399 0.601 0.750
Tl 0.601 0.399 0.250
Ni 0.329 0.671 0.250
Ni 0.671 0.329 0.750
S 0.081 0.919 0.750
S 0.238 0.762 0.112
S 0.238 0.762 0.388
S 0.500 0.500 0.000
S 0.500 0.500 0.500
S 0.762 0.238 0.612
S 0.762 0.238 0.888
S 0.919 0.081 0.250

crystal system	orthorhombic
energy relative to the elements, uncorrected	-1064	meV per atom

This record from the Alexandria database describes crystalline U2TlNi2S6 at its relaxed geometry. The functional is GGA-PBE.

Cell lengths 6.920, 7.024, 7.119 Å; angles 64.99, 63.47, 60.74 degrees
Positions (direct):
U 0.168 0.497 0.174
U 0.832 0.503 0.826
Tl 0.500 0.500 0.500
Ni 0.181 0.942 0.833
Ni 0.819 0.058 0.167
S 0.029 0.741 0.827
S 0.190 0.243 0.571
S 0.414 0.753 0.034
S 0.586 0.247 0.966
S 0.810 0.757 0.429
S 0.971 0.259 0.173

crystal system	triclinic
energy relative to the elements, uncorrected	-861	meV per atom